Compound: Nd3Sm6Dy2Sc
Source: Alexandria
Functional: PBE-GGA
Structure: optimized geometry

a = 6.241 Å, b = 6.241 Å, c = 11.905 Å
α = 95.01°, β = 95.01°, γ = 120.00°
Fractional positions:
Sm 0.751 0.751 0.244
Sm 0.081 0.411 0.243
Dy 0.333 0.667 0.000
Nd 0.500 0.500 0.500
Sm 0.249 0.249 0.756
Nd 0.833 0.167 0.500
Sm 0.919 0.589 0.757
Sc 0.000 0.000 0.000
Nd 0.167 0.833 0.500
Sm 0.589 0.919 0.757
Sm 0.411 0.081 0.243
Dy 0.667 0.333 0.000

SG: C2/m, No. 12
VASP energy (eV per formula unit): -57.81


Compound: Pu3AgS6
Source: Alexandria
Functional: PBE-GGA
Structure: optimized geometry

a = 6.543 Å, b = 8.376 Å, c = 8.376 Å
α = 101.60°, β = 90.00°, γ = 90.00°
Fractional positions:
S 0.704 0.977 0.023
S 0.720 0.910 0.456
S 0.220 0.090 0.544
Ag 0.017 0.197 0.803
S 0.177 0.693 0.629
Pu 0.474 0.921 0.717
Pu 0.974 0.079 0.283
S 0.220 0.456 0.910
S 0.138 0.774 0.226
Pu 0.884 0.605 0.395
S 0.177 0.371 0.307
Ag 0.517 0.803 0.197
S 0.677 0.629 0.693
Pu 0.474 0.283 0.079
Pu 0.974 0.717 0.921
S 0.638 0.226 0.774
S 0.204 0.023 0.977
S 0.677 0.307 0.371
S 0.720 0.544 0.090
Pu 0.384 0.395 0.605

Uncorrected formation energy (eV per atom): -1.302
SG: Cmc2_1, No. 36
VASP energy (eV per formula unit): -83.63


Compound: Er2HfZn
Source: Alexandria
Functional: PBE-GGA
Structure: optimized geometry

a = 3.370 Å, b = 3.370 Å, c = 8.476 Å
α = 90.00°, β = 90.00°, γ = 90.00°
Fractional positions:
Er 0.000 0.000 0.230
Zn 0.500 0.500 0.000
Er 0.000 0.000 0.770
Hf 0.500 0.500 0.500

SG: P4/mmm, No. 123
VASP energy (eV per formula unit): -20.79
Energy above the most stable polymorph in this dataset (meV per atom): 0


Compound: AlSi2Ru2
Source: Alexandria
Functional: PBE-GGA
Structure: optimized geometry

a = 3.464 Å, b = 3.464 Å, c = 6.562 Å
α = 74.70°, β = 74.70°, γ = 90.00°
Fractional positions:
Ru 0.386 0.386 0.227
Si 0.750 0.250 0.500
Ru 0.614 0.614 0.773
Si 0.250 0.750 0.500
Al 0.000 0.000 0.000

Uncorrected formation energy (eV per atom): -0.479
SG: I4/mmm, No. 139
VASP energy (eV per formula unit): -35.54


Compound: Ac2AlHg
Source: Alexandria
Functional: PBE-GGA
Structure: optimized geometry

a = 3.959 Å, b = 3.959 Å, c = 8.169 Å
α = 90.00°, β = 90.00°, γ = 90.00°
Fractional positions:
Al 0.500 0.500 0.000
Ac 0.000 0.000 0.239
Ac 0.000 0.000 0.761
Hg 0.500 0.500 0.500

SG: P4/mmm, No. 123
VASP energy (eV per formula unit): -13.68


Compound: CuPt3
Source: Alexandria
Functional: PBE-GGA
Structure: optimized geometry

a = 4.777 Å, b = 9.000 Å, c = 5.559 Å
α = 90.00°, β = 90.00°, γ = 90.00°
Fractional positions:
Pt 0.253 0.502 0.874
Pt 0.090 0.750 0.120
Cu 0.913 0.250 0.373
Pt 0.247 0.498 0.374
Pt 0.753 0.998 0.626
Cu 0.587 0.750 0.873
Cu 0.413 0.250 0.127
Cu 0.087 0.750 0.627
Pt 0.753 0.502 0.626
Pt 0.253 0.998 0.874
Pt 0.910 0.250 0.880
Pt 0.247 0.002 0.374
Pt 0.747 0.498 0.126
Pt 0.590 0.750 0.380
Pt 0.747 0.002 0.126
Pt 0.410 0.250 0.620

SG: Pnma, No. 62
VASP energy (eV per formula unit): -22.53


Compound: TbSc3
Source: Alexandria
Functional: PBE-GGA
Structure: optimized geometry

a = 5.523 Å, b = 6.325 Å, c = 6.325 Å
α = 91.48°, β = 90.00°, γ = 90.00°
Fractional positions:
Sc 0.750 0.079 0.596
Sc 0.750 0.912 0.088
Tb 0.250 0.419 0.581
Tb 0.750 0.581 0.419
Sc 0.250 0.088 0.912
Sc 0.250 0.596 0.079
Sc 0.250 0.921 0.404
Sc 0.750 0.404 0.921

SG: Cmcm, No. 63
VASP energy (eV per formula unit): -22.73
Energy above the most stable polymorph in this dataset (meV per atom): 200


Compound: ErPaZnTc
Source: Alexandria
Functional: PBE-GGA
Structure: optimized geometry

a = 4.909 Å, b = 4.909 Å, c = 4.909 Å
α = 60.00°, β = 60.00°, γ = 60.00°
Fractional positions:
Pa 0.250 0.250 0.250
Tc 0.500 0.500 0.500
Zn 0.000 0.000 0.000
Er 0.750 0.750 0.750

SG: F-43m, No. 216
VASP energy (eV per formula unit): -26.13